First-principles (PBE with a Hubbard U) data for a relaxed structure of FeCo2O6, as listed in Alexandria.

Cell lengths 6.6479, 6.6479, 5.8432 Å; angles 104.49, 104.49, 25.11 degrees
With the nearest neighbours (Å) after each atom.
Positions (direct):
Fe  0.0000  0.0000  0.0000  6 O 1.95-2.02
Co  0.3300  0.3300  0.6642  6 O 1.88-1.91
Co  0.6700  0.6700  0.3358  6 O 1.88-1.91
O  0.1603  0.1603  0.1219  2 Co 1.89, 1 Fe 2.02
O  0.1809  0.1809  0.5533  3 Co 1.88-1.91
O  0.4814  0.4814  0.7681  1 Co 1.90, 2 Fe 1.95
O  0.5186  0.5186  0.2319  1 Co 1.90, 2 Fe 1.95
O  0.8191  0.8191  0.4467  3 Co 1.88-1.91
O  0.8397  0.8397  0.8781  2 Co 1.89, 1 Fe 2.02

## Properties
**Space-group type**: C2/m, No. 12
**Distance to the lowest polymorph of the same formula**: 0 meV/atom
**Volume**: 105.93 Å³ per cell
**Calculated total energy**: -0.21306 Ha/atom
**N(E_F)**: 4.61 states/eV per cell
**Total magnetization**: 0.67 μB/atom